(1)
VASP calculation (PBE) on Hf12Fe6Ir after structural relaxation.

Values from the calculation:
N(E_F) in states/eV/cell: 34.842
Magnetic moment in μB per cell: 0.01
DFT total energy in eV per atom: -9.6585

Geometry as CIF:
```
data_Hf12Fe6Ir
_cell_length_a 8.822
_cell_length_b 8.822
_cell_length_c 8.822
_cell_angle_alpha 90.00
_cell_angle_beta 90.00
_cell_angle_gamma 90.00
_symmetry_space_group_name_H-M 'I m -3'
_symmetry_Int_Tables_number 204
_symmetry_space_group_name_Hall '-I 2 2 3'
loop_
_atom_site_label
_atom_site_fract_x
_atom_site_fract_y
_atom_site_fract_z
_atom_site_occupancy
Hf1 0.000 0.288 0.193 1
Fe1 0.000 0.119 0.500 1
Ir1 0.000 0.000 0.000 1
```

(2)
VASP calculation (PBE) on HfFe2Ir2 after structural relaxation.

Values from the calculation:
N(E_F) in states/eV/cell: 10.603
Offset from the most stable computed form in meV/atom: 0
Magnetic moment in μB per cell: 5.92
DFT total energy in eV per atom: -9.1518

Geometry as CIF:
```
data_HfFe2Ir2
_cell_length_a 7.193
_cell_length_b 7.193
_cell_length_c 2.766
_cell_angle_alpha 90.00
_cell_angle_beta 90.00
_cell_angle_gamma 90.00
_symmetry_space_group_name_H-M 'P 4/m b m'
_symmetry_Int_Tables_number 127
_symmetry_space_group_name_Hall '-P 4 2ab'
loop_
_atom_site_label
_atom_site_fract_x
_atom_site_fract_y
_atom_site_fract_z
_atom_site_occupancy
Hf1 0.000 0.000 0.000 1
Fe1 0.117 0.383 0.000 1
Ir1 0.178 0.678 0.500 1
```

(3)
VASP calculation (PBE) on HfFeIr3 after structural relaxation.

Values from the calculation:
N(E_F) in states/eV/cell: 4.204
Offset from the most stable computed form in meV/atom: 0
Magnetic moment in μB per cell: 3.78
DFT total energy in eV per atom: -8.3086

Geometry as CIF:
```
data_HfFeIr3
_cell_length_a 4.478
_cell_length_b 4.478
_cell_length_c 4.478
_cell_angle_alpha 90.00
_cell_angle_beta 90.00
_cell_angle_gamma 90.00
_symmetry_space_group_name_H-M 'P m -3 m'
_symmetry_Int_Tables_number 221
_symmetry_space_group_name_Hall '-P 4 2 3'
loop_
_atom_site_label
_atom_site_fract_x
_atom_site_fract_y
_atom_site_fract_z
_atom_site_occupancy
Hf1 0.000 0.000 0.000 1
Fe1 0.500 0.500 0.500 1
Ir1 0.000 0.500 0.500 1
```

(4)
VASP calculation (PBE) on Hf2Fe2Ir after structural relaxation.

Values from the calculation:
N(E_F) in states/eV/cell: 9.010
Magnetic moment in μB per cell: 3.37
DFT total energy in eV per atom: -9.5072

Geometry as CIF:
```
data_Hf2Fe2Ir
_cell_length_a 6.448
_cell_length_b 6.448
_cell_length_c 3.779
_cell_angle_alpha 90.00
_cell_angle_beta 90.00
_cell_angle_gamma 90.00
_symmetry_space_group_name_H-M 'P 4/m b m'
_symmetry_Int_Tables_number 127
_symmetry_space_group_name_Hall '-P 4 2ab'
loop_
_atom_site_label
_atom_site_fract_x
_atom_site_fract_y
_atom_site_fract_z
_atom_site_occupancy
Hf1 0.184 0.316 0.000 1
Fe1 0.116 0.616 0.500 1
Ir1 0.000 0.000 0.500 1
```

(5)
VASP calculation (PBE) on HfFeIr after structural relaxation.

Values from the calculation:
N(E_F) in states/eV/cell: 11.076
Magnetic moment in μB per cell: 8.90
DFT total energy in eV per atom: -9.7088

Geometry as CIF:
```
data_HfFeIr
_cell_length_a 4.870
_cell_length_b 5.380
_cell_length_c 7.167
_cell_angle_alpha 90.00
_cell_angle_beta 90.00
_cell_angle_gamma 90.00
_symmetry_space_group_name_H-M 'I m m a'
_symmetry_Int_Tables_number 74
_symmetry_space_group_name_Hall '-I 2b 2'
loop_
_atom_site_label
_atom_site_fract_x
_atom_site_fract_y
_atom_site_fract_z
_atom_site_occupancy
Hf1 0.000 0.250 0.118 1
Fe1 0.250 0.250 0.750 1
Ir1 0.000 0.000 0.500 1
```

(6)
VASP calculation (PBE) on Hf4FeIr3 after structural relaxation.

Values from the calculation:
N(E_F) in states/eV/cell: 9.532
Magnetic moment in μB per cell: 3.05
DFT total energy in eV per atom: -10.1407

Geometry as CIF:
```
data_Hf4FeIr3
_cell_length_a 4.605
_cell_length_b 4.605
_cell_length_c 13.041
_cell_angle_alpha 90.00
_cell_angle_beta 90.00
_cell_angle_gamma 90.00
_symmetry_space_group_name_H-M 'I 4/m m m'
_symmetry_Int_Tables_number 139
_symmetry_space_group_name_Hall '-I 4 2'
loop_
_atom_site_label
_atom_site_fract_x
_atom_site_fract_y
_atom_site_fract_z
_atom_site_occupancy
Hf1 0.000 0.500 0.123 1
Fe1 0.000 0.000 0.000 1
Ir1 0.000 0.000 0.242 1
Ir2 0.000 0.000 0.500 1
```

(7)
VASP calculation (PBE) on Hf4Fe2Ir after structural relaxation.

Values from the calculation:
N(E_F) in states/eV/cell: 10.340
Magnetic moment in μB per cell: 0.06
DFT total energy in eV per atom: -9.7327

Geometry as CIF:
```
data_Hf4Fe2Ir
_cell_length_a 6.334
_cell_length_b 6.334
_cell_length_c 6.313
_cell_angle_alpha 90.00
_cell_angle_beta 90.00
_cell_angle_gamma 90.00
_symmetry_space_group_name_H-M 'I 4/m m m'
_symmetry_Int_Tables_number 139
_symmetry_space_group_name_Hall '-I 4 2'
loop_
_atom_site_label
_atom_site_fract_x
_atom_site_fract_y
_atom_site_fract_z
_atom_site_occupancy
Hf1 0.250 0.250 0.250 1
Fe1 0.000 0.500 0.000 1
Ir1 0.000 0.000 0.000 1
```

(8)
VASP calculation (PBE) on KHfFe2Ir after structural relaxation.

Values from the calculation:
N(E_F) in states/eV/cell: 6.954
Magnetic moment in μB per cell: 4.97
DFT total energy in eV per atom: -6.1407

Geometry as CIF:
```
data_KHfFe2Ir
_cell_length_a 4.926
_cell_length_b 4.926
_cell_length_c 4.937
_cell_angle_alpha 90.00
_cell_angle_beta 90.00
_cell_angle_gamma 90.00
_symmetry_space_group_name_H-M 'P 4/m m m'
_symmetry_Int_Tables_number 123
_symmetry_space_group_name_Hall '-P 4 2'
loop_
_atom_site_label
_atom_site_fract_x
_atom_site_fract_y
_atom_site_fract_z
_atom_site_occupancy
K1 0.000 0.000 0.000 1
Hf1 0.500 0.500 0.500 1
Fe1 0.000 0.500 0.500 1
Ir1 0.500 0.500 0.000 1
```

(9)
VASP calculation (PBE) on HfMgFeIr after structural relaxation.

Values from the calculation:
N(E_F) in states/eV/cell: 20.444
Magnetic moment in μB per cell: 2.50
DFT total energy in eV per atom: -7.6052

Geometry as CIF:
```
data_HfMgFeIr
_cell_length_a 6.292
_cell_length_b 6.292
_cell_length_c 6.292
_cell_angle_alpha 90.00
_cell_angle_beta 90.00
_cell_angle_gamma 90.00
_symmetry_space_group_name_H-M 'F -4 3 m'
_symmetry_Int_Tables_number 216
_symmetry_space_group_name_Hall 'F -4 2 3'
loop_
_atom_site_label
_atom_site_fract_x
_atom_site_fract_y
_atom_site_fract_z
_atom_site_occupancy
Hf1 0.000 0.000 0.000 1
Mg1 0.000 0.000 0.500 1
Fe1 0.250 0.250 0.250 1
Ir1 0.250 0.250 0.750 1
```

(10)
VASP calculation (PBE) on Hf2FeIrN after structural relaxation.

Values from the calculation:
N(E_F) in states/eV/cell: 2.850
Formation energy without anion corrections in meV per atom: -927.5
Magnetic moment in μB per cell: 1.75
DFT total energy in eV per atom: -10.0386

Geometry as CIF:
```
data_Hf2FeIrN
_cell_length_a 4.448
_cell_length_b 4.448
_cell_length_c 3.680
_cell_angle_alpha 90.00
_cell_angle_beta 90.00
_cell_angle_gamma 90.00
_symmetry_space_group_name_H-M 'P 4/m m m'
_symmetry_Int_Tables_number 123
_symmetry_space_group_name_Hall '-P 4 2'
loop_
_atom_site_label
_atom_site_fract_x
_atom_site_fract_y
_atom_site_fract_z
_atom_site_occupancy
Hf1 0.000 0.500 0.000 1
Fe1 0.000 0.000 0.500 1
Ir1 0.500 0.500 0.500 1
N1 0.000 0.000 0.000 1
```

(11)
VASP calculation (PBE) on NaHfFeIr2 after structural relaxation.

Values from the calculation:
N(E_F) in states/eV/cell: 4.201
Magnetic moment in μB per cell: 0.00
DFT total energy in eV per atom: -6.8347

Geometry as CIF:
```
data_NaHfFeIr2
_cell_length_a 4.593
_cell_length_b 4.593
_cell_length_c 4.565
_cell_angle_alpha 90.00
_cell_angle_beta 90.00
_cell_angle_gamma 90.00
_symmetry_space_group_name_H-M 'P 4/m m m'
_symmetry_Int_Tables_number 123
_symmetry_space_group_name_Hall '-P 4 2'
loop_
_atom_site_label
_atom_site_fract_x
_atom_site_fract_y
_atom_site_fract_z
_atom_site_occupancy
Na1 0.000 0.000 0.000 1
Hf1 0.500 0.500 0.000 1
Fe1 0.500 0.500 0.500 1
Ir1 0.000 0.500 0.500 1
```